Cu2Ag | PBE | optimized geometry

Space group: C2/m, No. 12
Formation energy from the elements: 26 kJ/mol of formula units
Density: 9369 kg/m3

Structure (POSCAR):
```
Cu2Ag
1.0
1.3249 2.8891 4.7865
-1.4068 2.6891 4.8788
0.6693 -8.1059 2.2467
Ag Cu
3 6
Cartesian
0.0000 0.0000 0.0000
0.2697 -1.6770 4.3493
0.3178 -0.8508 7.5628
0.0466 0.9277 3.3887
0.0930 1.9550 6.9901
0.2069 -2.4976 0.7133
0.3805 -0.0302 11.1987
0.4945 -4.4828 4.9220
0.5409 -3.4555 8.5234
```

GdBAsO | PBE | optimized geometry

Space group: P4/nmm, No. 129
Magnetization: 0.000 μB per atom
Density: 7302 kg/m3

Structure (POSCAR):
```
GdBAsO
1.0
4.0239 0.0000 0.0000
0.0000 4.0239 0.0000
0.0000 0.0000 7.2743
As B Gd O
2 2 2 2
Cartesian
3.0180 3.0180 2.7459
1.0060 1.0060 4.5283
3.0180 1.0060 3.6371
1.0060 3.0180 3.6371
1.0060 1.0060 1.0896
3.0180 3.0180 6.1847
3.0180 1.0060 0.0000
1.0060 3.0180 0.0000
```

ThSnSb | PBE | optimized geometry

Space group: F-43m, No. 216
Magnetization: 0.001 μB per atom
Density: 7898 kg/m3

Structure (POSCAR):
```
ThSnSb
1.0
0.0000 3.6759 3.6759
3.6759 0.0000 3.6759
3.6759 3.6759 0.0000
Sb Sn Th
1 1 1
Cartesian
0.0000 0.0000 0.0000
1.8379 1.8379 1.8379
5.5138 5.5138 5.5138
```

PrAgNO | PBE | optimized geometry

Space group: Pca2_1, No. 29
Magnetization: 0.152 μB per atom
Density: 6865 kg/m3

Structure (POSCAR):
```
PrAgNO
1.0
5.7851 0.0000 0.0000
0.0000 7.9700 0.0000
0.0000 0.0000 5.8502
Ag N O Pr
4 4 4 4
Cartesian
2.6647 0.2487 2.8802
5.5573 7.7213 2.8802
0.2278 0.2487 5.8053
3.1204 7.7213 5.8053
1.9363 1.1926 1.1095
4.8288 6.7774 1.1095
0.9563 1.1926 4.0346
3.8489 6.7774 4.0346
4.3595 3.7115 0.7786
1.4670 4.2585 0.7786
4.3182 3.7115 3.7037
1.4256 4.2585 3.7037
0.2397 2.8564 2.2660
3.1322 5.1136 2.2660
2.6529 2.8564 5.1911
5.5454 5.1136 5.1911
```

One value per record, in order, for energy above the lowest structure with this stoichiometry: 44 0 26 0 meV per atom.